Compound: Ag2IrPb
Source: Alexandria
Functional: PBE
Structure: relaxed

- N(E_F): 0.360 states/eV/atom
- Calculated total energy: -4.237 eV per atom
- M_tot: 0.000 μB/atom
- DFT formation energy: 0.3314 eV per atom

Cell: 4.054 4.054 4.538 Å, 90.00 90.00 90.00°
Space group P4/mmm (No. 123)
One atom of each set of equivalent atoms:
Ag (0.000, 0.500, 0.000) [2 per cell]
Ir (0.000, 0.000, 0.500) [1 per cell]
Pb (0.500, 0.500, 0.500) [1 per cell]

Compound: AgIrPb2
Source: Alexandria
Functional: PBE
Structure: relaxed

- N(E_F): 0.704 states/eV/atom
- Calculated total energy: -4.474 eV per atom
- M_tot: 0.000 μB/atom
- Excess energy over the best structure of this formula in the dataset: 27.1 meV/atom
- DFT formation energy: 0.3086 eV per atom

Cell: 3.460 3.313 7.831 Å, 90.00 90.29 90.00°
Space group P2/m (No. 10)
One atom of each set of equivalent atoms:
Ag (0.000, 0.000, 0.000) [1 per cell]
Ir (0.000, 0.000, 0.500) [1 per cell]
Pb (0.498, 0.500, 0.279) [2 per cell]

Compound: AgIr2Pb
Source: Alexandria
Functional: PBE
Structure: relaxed

- N(E_F): 0.873 states/eV/atom
- Calculated total energy: -5.318 eV per atom
- M_tot: 0.000 μB/atom
- DFT formation energy: 0.7523 eV per atom

Cell: 3.049 5.056 9.413 Å, 90.00 90.00 90.00°
Space group Cmmm (No. 65)
One atom of each set of equivalent atoms:
Ag (0.000, 0.000, 0.000) [2 per cell]
Ir (0.000, 0.500, 0.247) [4 per cell]
Pb (0.000, 0.000, 0.500) [2 per cell]

Compound: Ag2IrPb
Source: Alexandria
Functional: PBE
Structure: relaxed

- N(E_F): 0.443 states/eV/atom
- Calculated total energy: -4.121 eV per atom
- M_tot: 0.000 μB/atom
- DFT formation energy: 0.4470 eV per atom

Cell: 3.954 3.954 20.677 Å, 90.00 90.00 90.00°
Space group I-42d (No. 122)
One atom of each set of equivalent atoms:
Ag (0.236, 0.250, 0.125) [8 per cell]
Ir (0.000, 0.000, 0.000) [4 per cell]
Pb (0.000, 0.000, 0.500) [4 per cell]

Compound: Ag2IrPb
Source: Alexandria
Functional: PBE
Structure: relaxed

- N(E_F): 0.606 states/eV/atom
- Calculated total energy: -4.202 eV per atom
- M_tot: 0.000 μB/atom
- DFT formation energy: 0.3662 eV per atom

Cell: 9.483 3.178 5.191 Å, 90.00 101.70 90.00°
Space group Cm (No. 8)
One atom of each set of equivalent atoms:
Ag (0.000, 0.000, 0.000) [2 per cell]
Ag (0.249, 0.500, 0.198) [2 per cell]
Ir (0.262, 0.000, 0.718) [2 per cell]
Pb (0.018, 0.500, 0.519) [2 per cell]

Compound: AgIr2Pb
Source: Alexandria
Functional: PBE
Structure: relaxed

- N(E_F): 0.994 states/eV/atom
- Calculated total energy: -5.481 eV per atom
- M_tot: 0.000 μB/atom
- DFT formation energy: 0.5893 eV per atom

Cell: 2.990 4.804 4.947 Å, 90.00 90.00 90.00°
Space group Pmmm (No. 47)
One atom of each set of equivalent atoms:
Ag (0.000, 0.000, 0.000) [1 per cell]
Ir (0.000, 0.500, 0.500) [1 per cell]
Ir (0.500, 0.500, 0.000) [1 per cell]
Pb (0.500, 0.000, 0.500) [1 per cell]

Compound: AgIrPb2
Source: Alexandria
Functional: PBE
Structure: relaxed

- N(E_F): 0.386 states/eV/atom
- Calculated total energy: -4.369 eV per atom
- M_tot: 0.000 μB/atom
- Excess energy over the best structure of this formula in the dataset: 131.6 meV/atom
- DFT formation energy: 0.4131 eV per atom

Cell: 8.899 8.899 5.510 Å, 90.00 90.00 90.00°
Space group I-42d (No. 122)
One atom of each set of equivalent atoms:
Ag (0.000, 0.000, 0.000) [4 per cell]
Ir (0.000, 0.000, 0.500) [4 per cell]
Pb (0.149, 0.250, 0.625) [8 per cell]

Compound: AgIrPb
Source: Alexandria
Functional: PBE
Structure: relaxed

- N(E_F): 0.843 states/eV/atom
- Calculated total energy: -4.604 eV per atom
- M_tot: 0.000 μB/atom
- Excess energy over the best structure of this formula in the dataset: 177.2 meV/atom
- DFT formation energy: 0.5362 eV per atom

Cell: 3.106 3.107 7.549 Å, 78.32 78.38 60.07°
Space group P1 (No. 1)
One atom of each set of equivalent atoms:
Ag (0.000, 0.000, 0.000) [1 per cell]
Ir (0.569, 0.567, 0.302) [1 per cell]
Pb (0.138, 0.133, 0.603) [1 per cell]

Compound: Ag2IrPb
Source: Alexandria
Functional: PBE
Structure: relaxed

- N(E_F): 0.485 states/eV/atom
- Calculated total energy: -4.105 eV per atom
- M_tot: 0.000 μB/atom
- DFT formation energy: 0.4633 eV per atom

Cell: 3.168 5.093 9.808 Å, 90.00 90.00 90.00°
Space group Cmm2 (No. 35)
One atom of each set of equivalent atoms:
Ag (0.000, 0.000, 0.000) [2 per cell]
Ag (0.000, 0.500, 0.237) [2 per cell]
Ir (0.000, 0.500, 0.768) [2 per cell]
Pb (0.000, 0.000, 0.529) [2 per cell]

Compound: AgIr2Pb
Source: Alexandria
Functional: PBE
Structure: relaxed

- N(E_F): 0.438 states/eV/atom
- Calculated total energy: -5.475 eV per atom
- M_tot: 0.000 μB/atom
- DFT formation energy: 0.5956 eV per atom

Cell: 3.339 3.339 6.276 Å, 90.00 90.00 90.00°
Space group P4/mmm (No. 123)
One atom of each set of equivalent atoms:
Ag (0.000, 0.000, 0.000) [1 per cell]
Ir (0.500, 0.500, 0.245) [2 per cell]
Pb (0.000, 0.000, 0.500) [1 per cell]

Compound: AgIr2Pb
Source: Alexandria
Functional: PBE
Structure: relaxed

- N(E_F): 0.965 states/eV/atom
- Calculated total energy: -5.559 eV per atom
- M_tot: 0.000 μB/atom
- DFT formation energy: 0.5115 eV per atom

Cell: 2.9814 2.9814 28.8723 Å, 90.00 90.00 120.00°
Space group R3m (No. 160, hexagonal axes)
One atom of each set of equivalent atoms:
Ag (0.0000, 0.0000, 0.0000) [3 per cell]
Ir (0.0000, 0.0000, 0.4825) [3 per cell]
Ir (0.0000, 0.0000, 0.7463) [3 per cell]
Pb (0.0000, 0.0000, 0.2354) [3 per cell]

Compound: Ag4IrPb
Source: Alexandria
Functional: PBE
Structure: relaxed

- N(E_F): 0.460 states/eV/atom
- Calculated total energy: -3.532 eV per atom
- M_tot: 0.000 μB/atom
- DFT formation energy: 0.4633 eV per atom

Cell: 7.751 7.751 7.751 Å, 90.00 90.00 90.00°
Space group F-43m (No. 216)
One atom of each set of equivalent atoms:
Ag (0.124, 0.124, 0.124) [16 per cell]
Ir (0.250, 0.250, 0.750) [4 per cell]
Pb (0.000, 0.000, 0.500) [4 per cell]

Compound: Ag2IrPb
Source: Alexandria
Functional: PBE
Structure: relaxed

- N(E_F): 0.666 states/eV/atom
- Calculated total energy: -4.141 eV per atom
- M_tot: 0.000 μB/atom
- DFT formation energy: 0.4273 eV per atom

Cell: 3.099 4.343 5.673 Å, 90.00 90.00 90.00°
Space group Pmmm (No. 47)
One atom of each set of equivalent atoms:
Ag (0.000, 0.000, 0.234) [2 per cell]
Ir (0.500, 0.500, 0.000) [1 per cell]
Pb (0.500, 0.500, 0.500) [1 per cell]

Compound: Ag2IrPb
Source: Alexandria
Functional: PBE
Structure: relaxed

- N(E_F): 0.562 states/eV/atom
- Calculated total energy: -4.152 eV per atom
- M_tot: 0.000 μB/atom
- DFT formation energy: 0.4164 eV per atom

Cell: 5.575 8.583 3.185 Å, 90.00 90.00 90.00°
Space group Cmmm (No. 65)
One atom of each set of equivalent atoms:
Ag (0.250, 0.250, 0.000) [4 per cell]
Ir (0.000, 0.000, 0.500) [2 per cell]
Pb (0.000, 0.500, 0.500) [2 per cell]

Compound: Ag2Ir2Pb
Source: Alexandria
Functional: PBE
Structure: relaxed

- N(E_F): 1.477 states/eV/atom
- Calculated total energy: -4.747 eV per atom
- M_tot: 0.006 μB/atom
- DFT formation energy: 0.6795 eV per atom

Cell: 3.959 3.959 12.661 Å, 90.00 90.00 90.00°
Space group I4/mmm (No. 139)
One atom of each set of equivalent atoms:
Ag (0.000, 0.500, 0.250) [4 per cell]
Ir (0.000, 0.000, 0.096) [4 per cell]
Pb (0.000, 0.000, 0.500) [2 per cell]